ZrMnSnO6 GGA+U relaxed; raw total energy = -136.1 eV per cell; space group = No. 102
1.0
-0.2228 4.7353 0.4347
0.4266 -0.4135 4.7232
9.4176 0.5170 -0.8053
Zr Mn Sn O
2 2 2 12
direct
0.5000 0.5000 0.1668 Zr
0.0000 0.0000 0.6668 Zr
0.5000 0.5000 0.8339 Mn
0.0000 0.0000 0.3339 Mn
0.5000 0.5000 0.4994 Sn
0.0000 0.0000 0.9995 Sn
0.1894 0.8106 0.4899 O
0.8106 0.1894 0.4899 O
0.3106 0.3106 0.9899 O
0.6894 0.6894 0.9899 O
0.1856 0.8144 0.1760 O
0.8144 0.1856 0.1760 O
0.3144 0.3144 0.6760 O
0.6856 0.6856 0.6760 O
0.7912 0.2088 0.8340 O
0.2088 0.7912 0.8340 O
0.7089 0.7089 0.3340 O
0.2911 0.2911 0.3340 O